Run A
Density functional theory data (PBE-GGA) for a relaxed KGa2Sn3 crystal.

Cell lengths 6.4903, 6.4903, 4.7760 Å; angles 90.00, 90.00, 120.00 degrees
Closest atoms and distances in Å follow each position.
Fractional positions:
Sn: 0.5000 0.5000 0.0000  4 Ga 3.03-3.04, 4 Sn 3.25
Sn: 0.5000 0.0000 0.0000  4 Ga 3.03-3.04, 4 Sn 3.25
Sn: 0.0000 0.5000 0.0000  4 Ga 3.03-3.04, 4 Sn 3.25
K: 0.0000 0.0000 0.5000  6 Ga 3.75, 12 Sn 4.03
Ga: 0.6667 0.3333 0.5001  6 Sn 3.03-3.04
Ga: 0.3333 0.6667 0.4999  6 Sn 3.03-3.04

Results
Space-group type = No. 191
Total magnetic moment = 0.000 μB/atom


Run B
Density functional theory data (PBE-GGA) for a relaxed KGa2Sn3 crystal.

Cell lengths 4.5046, 9.9166, 11.2213 Å; angles 46.69, 78.42, 76.87 degrees
Closest atoms and distances in Å follow each position.
Fractional positions:
Sn: 0.9728 0.3762 0.6783  2 Ga 2.81, 1 Sn 2.92
Sn: 0.0272 0.6238 0.3217  2 Ga 2.81, 1 Sn 2.92
K: 0.1573 0.7775 0.9078  6 Sn 3.53-3.72, 4 Ga 3.84-3.88
Sn: 0.6394 0.1208 0.6004  4 Ga 2.81-2.95, 1 Sn 2.97
Sn: 0.3606 0.8792 0.3996  4 Ga 2.81-2.95, 1 Sn 2.97
Ga: 0.4931 0.8552 0.1586  1 Ga 2.62, 3 Sn 2.81
K: 0.8427 0.2225 0.0922  6 Sn 3.53-3.72, 4 Ga 3.84-3.88
Sn: 0.6462 0.4622 0.2454  3 Sn 2.97-3.16, 3 Ga 3.01-3.23
Sn: 0.3538 0.5378 0.7546  3 Sn 2.97-3.16, 3 Ga 3.01-3.23
Ga: 0.7923 0.8164 0.5990  5 Sn 2.91-3.01
Ga: 0.5069 0.1448 0.8414  1 Ga 2.62, 3 Sn 2.81
Ga: 0.2077 0.1836 0.4010  5 Sn 2.91-3.01

Results
Space-group type = No. 12
Total magnetic moment = 0.000 μB/atom


run B is the most stable structure shown above.